[1]
# PBE-GGA Ac2PrHg7, optimized geometry
data_Ac2PrHg7
_chemical_formula_sum 'Ac2 Pr1 Hg7'
_cell_length_a 5.2104
_cell_length_b 5.2104
_cell_length_c 12.5789
_cell_angle_alpha 90.00
_cell_angle_beta 90.00
_cell_angle_gamma 120.00
_space_group_name_H-M_alt 'P 3 m 1'
_space_group_IT_number 156
loop_
_space_group_symop_operation_xyz
'x,y,z'
'-y,x-y,z'
'-x+y,-x,z'
'-y,-x,z'
'-x+y,y,z'
'x,x-y,z'
loop_
_atom_site_label
_atom_site_fract_x
_atom_site_fract_y
_atom_site_fract_z
Ac1 0.0000 0.0000 0.0000
Ac2 0.3333 0.6667 0.6241
Pr1 0.6667 0.3333 0.3587
Hg1 0.0000 0.0000 0.2624
Hg2 0.0000 0.0000 0.4958
Hg3 0.0000 0.0000 0.7376
Hg4 0.3333 0.6667 0.2179
Hg5 0.3333 0.6667 0.8986
Hg6 0.6667 0.3333 0.1025
Hg7 0.6667 0.3333 0.8142
# Formation energy: -0.349 eV/atom



[2]
# PBE-GGA Ac2PrHg2, optimized geometry
data_Ac2PrHg2
_chemical_formula_sum 'Ac4 Pr2 Hg4'
_cell_length_a 3.9796
_cell_length_b 22.3283
_cell_length_c 3.9213
_cell_angle_alpha 90.00
_cell_angle_beta 90.00
_cell_angle_gamma 90.00
_space_group_name_H-M_alt 'C m m m'
_space_group_IT_number 65
_space_group_name_Hall '-C 2 2'
loop_
_atom_site_label
_atom_site_fract_x
_atom_site_fract_y
_atom_site_fract_z
Ac1 0.0000 0.1738 0.0000
Pr1 0.0000 0.0000 0.0000
Hg1 0.0000 0.4178 0.5000
# Formation energy: -0.297 eV/atom



[3]
# PBE-GGA Ac4Pr5Hg, optimized geometry
data_Ac4Pr5Hg
_chemical_formula_sum 'Ac4 Pr5 Hg1'
_cell_length_a 3.8702
_cell_length_b 3.8702
_cell_length_c 25.1925
_cell_angle_alpha 90.00
_cell_angle_beta 90.00
_cell_angle_gamma 90.00
_space_group_name_H-M_alt 'P 4/m m m'
_space_group_IT_number 123
_space_group_name_Hall '-P 4 2'
loop_
_atom_site_label
_atom_site_fract_x
_atom_site_fract_y
_atom_site_fract_z
Ac1 0.0000 0.0000 0.1059
Ac2 0.0000 0.0000 0.3183
Pr1 0.5000 0.5000 0.0000
Pr2 0.5000 0.5000 0.2124
Pr3 0.5000 0.5000 0.4230
Hg1 0.0000 0.0000 0.5000
# Formation energy: -0.083 eV/atom



[4]
# PBE-GGA Ac2PrHg5, optimized geometry
data_Ac2PrHg5
_chemical_formula_sum 'Ac4 Pr2 Hg10'
_cell_length_a 5.5258
_cell_length_b 5.5258
_cell_length_c 15.4168
_cell_angle_alpha 90.00
_cell_angle_beta 90.00
_cell_angle_gamma 90.00
_space_group_name_H-M_alt 'I 4/m m m'
_space_group_IT_number 139
_space_group_name_Hall '-I 4 2'
loop_
_atom_site_label
_atom_site_fract_x
_atom_site_fract_y
_atom_site_fract_z
Ac1 0.0000 0.0000 0.2316
Pr1 0.0000 0.0000 0.5000
Hg1 0.0000 0.0000 0.0000
Hg2 0.0000 0.5000 0.1144
# Formation energy: -0.423 eV/atom



[5]
# PBE-GGA AcPr3Hg, optimized geometry
data_AcPr3Hg
_chemical_formula_sum 'Ac4 Pr12 Hg4'
_cell_length_a 13.2460
_cell_length_b 7.4549
_cell_length_c 9.3525
_cell_angle_alpha 90.00
_cell_angle_beta 127.53
_cell_angle_gamma 90.00
_space_group_name_H-M_alt 'C 1 2/m 1'
_space_group_IT_number 12
loop_
_space_group_symop_operation_xyz
'x,y,z'
'-x,-y,-z'
'-x,y,-z'
'x,-y,z'
'x+1/2,y+1/2,z'
'-x+1/2,-y+1/2,-z'
'-x+1/2,y+1/2,-z'
'x+1/2,-y+1/2,z'
loop_
_atom_site_label
_atom_site_fract_x
_atom_site_fract_y
_atom_site_fract_z
Ac1 0.0295 0.0000 0.2301
Pr1 0.1176 0.5000 0.3110
Pr2 0.1624 0.2702 0.6855
Hg1 0.1752 0.5000 0.9934
# Formation energy: -0.071 eV/atom



[6]
# PBE-GGA Ac2PrHg8, optimized geometry
data_Ac2PrHg8
_chemical_formula_sum 'Ac4 Pr2 Hg16'
_cell_length_a 5.4605
_cell_length_b 7.8066
_cell_length_c 14.9105
_cell_angle_alpha 90.00
_cell_angle_beta 90.00
_cell_angle_gamma 90.00
_space_group_name_H-M_alt 'I m m m'
_space_group_IT_number 71
_space_group_name_Hall '-I 2 2'
loop_
_atom_site_label
_atom_site_fract_x
_atom_site_fract_y
_atom_site_fract_z
Ac1 0.0000 0.0000 0.2007
Pr1 0.0000 0.0000 0.5000
Hg1 0.0000 0.2176 0.0000
Hg2 0.0000 0.3003 0.3640
Hg3 0.0000 0.5000 0.1523
# Formation energy: -0.362 eV/atom